[1]
# LiMgScH (GGA-PBE, optimized geometry)
# Total magnetization: 0.00 μB per cell
# Total DFT energy (no corrections): -27.6 eV per cell
# Fermi-level density of states: 4.28 states/eV/cell
data_LiMgScH
_cell_length_a 3.405
_cell_length_b 3.405
_cell_length_c 11.870
_cell_angle_alpha 90.00
_cell_angle_beta 90.00
_cell_angle_gamma 90.00
_symmetry_space_group_name_H-M 'P 4/n m m'
_symmetry_Int_Tables_number 129
loop_
_symmetry_equiv_pos_as_xyz
'x,y,z'
'-x,-y,-z'
'-y+1/2,x,z'
'y+1/2,-x,-z'
'-x+1/2,-y+1/2,z'
'x+1/2,y+1/2,-z'
'y,-x+1/2,z'
'-y,x+1/2,-z'
'x+1/2,-y,-z'
'-x+1/2,y,z'
'-y,-x,-z'
'y,x,z'
'-x,y+1/2,-z'
'x,-y+1/2,z'
'y+1/2,x+1/2,-z'
'-y+1/2,-x+1/2,z'
loop_
_atom_site_label
_atom_site_fract_x
_atom_site_fract_y
_atom_site_fract_z
Li1 0.250 0.750 0.000
Mg1 0.250 0.250 0.212
Sc1 0.250 0.250 0.595
H1 0.250 0.750 0.500



[2]
# Li2MgScH (GGA-PBE, optimized geometry)
# Total magnetization: 0.00 μB per cell
# Total DFT energy (no corrections): -15.5 eV per cell
# Fermi-level density of states: 2.86 states/eV/cell
data_Li2MgScH
_cell_length_a 4.504
_cell_length_b 4.504
_cell_length_c 4.108
_cell_angle_alpha 90.00
_cell_angle_beta 90.00
_cell_angle_gamma 90.00
_symmetry_space_group_name_H-M 'P 4/m m m'
_symmetry_Int_Tables_number 123
_symmetry_space_group_name_Hall '-P 4 2'
loop_
_atom_site_label
_atom_site_fract_x
_atom_site_fract_y
_atom_site_fract_z
Li1 0.000 0.500 0.000
Mg1 0.000 0.000 0.500
Sc1 0.500 0.500 0.500
H1 0.500 0.500 0.000



[3]
# LiMg2ScH (GGA-PBE, optimized geometry)
# Total magnetization: 0.00 μB per cell
# Total DFT energy (no corrections): -15.2 eV per cell
# Fermi-level density of states: 3.25 states/eV/cell
data_LiMg2ScH
_cell_length_a 4.790
_cell_length_b 4.790
_cell_length_c 3.897
_cell_angle_alpha 90.00
_cell_angle_beta 90.00
_cell_angle_gamma 90.00
_symmetry_space_group_name_H-M 'P 4/m m m'
_symmetry_Int_Tables_number 123
_symmetry_space_group_name_Hall '-P 4 2'
loop_
_atom_site_label
_atom_site_fract_x
_atom_site_fract_y
_atom_site_fract_z
Li1 0.000 0.000 0.000
Mg1 0.000 0.500 0.500
Sc1 0.500 0.500 0.000
H1 0.500 0.500 0.500



[4]
# LiMg2SiH (GGA-PBE, optimized geometry)
# Total magnetization: 0.00 μB per cell
# Total DFT energy (no corrections): -14.5 eV per cell
# Fermi-level density of states: 1.07 states/eV/cell
data_LiMg2SiH
_cell_length_a 4.297
_cell_length_b 4.297
_cell_length_c 3.879
_cell_angle_alpha 90.00
_cell_angle_beta 90.00
_cell_angle_gamma 90.00
_symmetry_space_group_name_H-M 'P 4/m m m'
_symmetry_Int_Tables_number 123
_symmetry_space_group_name_Hall '-P 4 2'
loop_
_atom_site_label
_atom_site_fract_x
_atom_site_fract_y
_atom_site_fract_z
Li1 0.000 0.000 0.000
Mg1 0.000 0.500 0.500
Si1 0.500 0.500 0.000
H1 0.000 0.000 0.500



[5]
# LiMgSi2H (GGA-PBE, optimized geometry)
# Total magnetization: 0.00 μB per cell
# Total DFT energy (no corrections): -15.1 eV per cell
# Fermi-level density of states: 2.18 states/eV/cell
data_LiMgSi2H
_cell_length_a 4.959
_cell_length_b 4.959
_cell_length_c 2.997
_cell_angle_alpha 90.00
_cell_angle_beta 90.00
_cell_angle_gamma 90.00
_symmetry_space_group_name_H-M 'P 4/m m m'
_symmetry_Int_Tables_number 123
_symmetry_space_group_name_Hall '-P 4 2'
loop_
_atom_site_label
_atom_site_fract_x
_atom_site_fract_y
_atom_site_fract_z
Li1 0.000 0.000 0.000
Mg1 0.500 0.500 0.500
Si1 0.000 0.500 0.000
H1 0.000 0.000 0.500



[6]
# SrLiMg2H (GGA-PBE, optimized geometry)
# Total magnetization: 0.00 μB per cell
# Total DFT energy (no corrections): -10.2 eV per cell
# Fermi-level density of states: 3.08 states/eV/cell
data_SrLiMg2H
_cell_length_a 4.791
_cell_length_b 4.791
_cell_length_c 5.021
_cell_angle_alpha 90.00
_cell_angle_beta 90.00
_cell_angle_gamma 90.00
_symmetry_space_group_name_H-M 'P 4/m m m'
_symmetry_Int_Tables_number 123
_symmetry_space_group_name_Hall '-P 4 2'
loop_
_atom_site_label
_atom_site_fract_x
_atom_site_fract_y
_atom_site_fract_z
Sr1 0.000 0.000 0.000
Li1 0.500 0.500 0.000
Mg1 0.000 0.500 0.500
H1 0.000 0.000 0.500



[7]
# Li2MgTaH (GGA-PBE, optimized geometry)
# Total magnetization: 4.92 μB per cell
# Total DFT energy (no corrections): -11.8 eV per cell
# Fermi-level density of states: 2.34 states/eV/cell
data_Li2MgTaH
_cell_length_a 5.439
_cell_length_b 5.439
_cell_length_c 5.658
_cell_angle_alpha 90.00
_cell_angle_beta 90.00
_cell_angle_gamma 90.00
_symmetry_space_group_name_H-M 'P 4/m m m'
_symmetry_Int_Tables_number 123
_symmetry_space_group_name_Hall '-P 4 2'
loop_
_atom_site_label
_atom_site_fract_x
_atom_site_fract_y
_atom_site_fract_z
Li1 0.000 0.500 0.000
Mg1 0.000 0.000 0.500
Ta1 0.000 0.000 0.000
H1 0.500 0.500 0.500



[8]
# LiMgTcH2 (GGA-PBE, optimized geometry)
# Total magnetization: 0.00 μB per cell
# Total DFT energy (no corrections): -18.3 eV per cell
# Fermi-level density of states: 1.51 states/eV/cell
data_LiMgTcH2
_cell_length_a 3.564
_cell_length_b 3.564
_cell_length_c 4.454
_cell_angle_alpha 90.00
_cell_angle_beta 90.00
_cell_angle_gamma 90.00
_symmetry_space_group_name_H-M 'P 4/m m m'
_symmetry_Int_Tables_number 123
_symmetry_space_group_name_Hall '-P 4 2'
loop_
_atom_site_label
_atom_site_fract_x
_atom_site_fract_y
_atom_site_fract_z
Li1 0.000 0.000 0.000
Mg1 0.500 0.500 0.000
Tc1 0.000 0.000 0.500
H1 0.000 0.500 0.500



[9]
# LiMgTeH2 (GGA-PBE, optimized geometry)
# Total magnetization: 0.00 μB per cell
# Total DFT energy (no corrections): -13.6 eV per cell
# Fermi-level density of states: 2.67 states/eV/cell
data_LiMgTeH2
_cell_length_a 3.746
_cell_length_b 3.746
_cell_length_c 7.881
_cell_angle_alpha 90.00
_cell_angle_beta 90.00
_cell_angle_gamma 90.00
_symmetry_space_group_name_H-M 'P 4/m m m'
_symmetry_Int_Tables_number 123
_symmetry_space_group_name_Hall '-P 4 2'
loop_
_atom_site_label
_atom_site_fract_x
_atom_site_fract_y
_atom_site_fract_z
Li1 0.000 0.000 0.000
Mg1 0.000 0.000 0.500
Te1 0.500 0.500 0.000
H1 0.000 0.500 0.500



[10]
# Li2MgTeH (GGA-PBE, optimized geometry)
# Total magnetization: 0.00 μB per cell
# Total DFT energy (no corrections): -14.1 eV per cell
# Fermi-level density of states: 2.23 states/eV/cell
data_Li2MgTeH
_cell_length_a 4.406
_cell_length_b 4.406
_cell_length_c 4.398
_cell_angle_alpha 90.00
_cell_angle_beta 90.00
_cell_angle_gamma 90.00
_symmetry_space_group_name_H-M 'P 4/m m m'
_symmetry_Int_Tables_number 123
_symmetry_space_group_name_Hall '-P 4 2'
loop_
_atom_site_label
_atom_site_fract_x
_atom_site_fract_y
_atom_site_fract_z
Li1 0.000 0.500 0.000
Mg1 0.000 0.000 0.500
Te1 0.500 0.500 0.500
H1 0.000 0.000 0.000



[11]
# LiMgTiH2 (GGA-PBE, optimized geometry)
# Total magnetization: 3.20 μB per cell
# Total DFT energy (no corrections): -14.2 eV per cell
# Fermi-level density of states: 2.86 states/eV/cell
data_LiMgTiH2
_cell_length_a 3.785
_cell_length_b 3.785
_cell_length_c 6.078
_cell_angle_alpha 90.00
_cell_angle_beta 90.00
_cell_angle_gamma 90.00
_symmetry_space_group_name_H-M 'P 4/m m m'
_symmetry_Int_Tables_number 123
_symmetry_space_group_name_Hall '-P 4 2'
loop_
_atom_site_label
_atom_site_fract_x
_atom_site_fract_y
_atom_site_fract_z
Li1 0.000 0.000 0.000
Mg1 0.500 0.500 0.500
Ti1 0.500 0.500 0.000
H1 0.000 0.500 0.500



[12]
# Li2MgTlH (GGA-PBE, optimized geometry)
# Total magnetization: 0.00 μB per cell
# Excess energy over the best structure of this formula in the dataset: 0.00 kcal/mol of atoms
# Fermi-level density of states: 1.29 states/eV/cell
data_Li2MgTlH
_cell_length_a 4.379
_cell_length_b 4.379
_cell_length_c 4.076
_cell_angle_alpha 90.00
_cell_angle_beta 90.00
_cell_angle_gamma 90.00
_symmetry_space_group_name_H-M 'P 4/m m m'
_symmetry_Int_Tables_number 123
_symmetry_space_group_name_Hall '-P 4 2'
loop_
_atom_site_label
_atom_site_fract_x
_atom_site_fract_y
_atom_site_fract_z
Li1 0.000 0.500 0.000
Mg1 0.000 0.000 0.500
Tl1 0.500 0.500 0.500
H1 0.000 0.000 0.000



What did the sixth record say?
# SrLiMg2H (GGA-PBE, optimized geometry)
# Total magnetization: 0.00 μB per cell
# Total DFT energy (no corrections): -10.2 eV per cell
# Fermi-level density of states: 3.08 states/eV/cell
data_SrLiMg2H
_cell_length_a 4.791
_cell_length_b 4.791
_cell_length_c 5.021
_cell_angle_alpha 90.00
_cell_angle_beta 90.00
_cell_angle_gamma 90.00
_symmetry_space_group_name_H-M 'P 4/m m m'
_symmetry_Int_Tables_number 123
_symmetry_space_group_name_Hall '-P 4 2'
loop_
_atom_site_label
_atom_site_fract_x
_atom_site_fract_y
_atom_site_fract_z
Sr1 0.000 0.000 0.000
Li1 0.500 0.500 0.000
Mg1 0.000 0.500 0.500
H1 0.000 0.000 0.500